! GGA-PBE SrOs2Se, relaxed; values from VASP
&SYSTEM
  ibrav = 0, nat = 4, ntyp = 3
/
ATOMIC_SPECIES
Sr 87.62 Sr.upf
Os 190.23 Os.upf
Se 78.96 Se.upf
CELL_PARAMETERS angstrom
2.9477 0.0000 0.0000
0.0000 4.5285 0.0000
0.0000 0.0000 5.9681
ATOMIC_POSITIONS angstrom
Sr 0.0000 0.0000 0.0000
Os 1.4739 2.2643 1.8109
Os 1.4739 2.2643 4.1572
Se 0.0000 0.0000 2.9840
! - Space-group type: Pmmm (47)
! - Raw formation energy: 977 meV per atom
! - Magnetic moment: 0.00 μB/cell

***

! GGA-PBE CoTe4Pt, relaxed; values from VASP
&SYSTEM
  ibrav = 0, nat = 6, ntyp = 3
/
ATOMIC_SPECIES
Co 58.93 Co.upf
Te 127.60 Te.upf
Pt 195.08 Pt.upf
CELL_PARAMETERS angstrom
5.3713 0.0000 0.0000
0.0000 3.9499 0.0000
-0.0352 0.0000 6.8949
ATOMIC_POSITIONS angstrom
Co 0.0000 0.0000 0.0000
Te 1.2666 1.9750 5.8506
Te 1.3267 0.0000 2.1881
Te 4.0094 0.0000 4.7069
Te 4.0695 1.9750 1.0443
Pt -0.0176 1.9750 3.4475
! - Space-group type: P2/m (10)
! - Raw formation energy: -305 meV per atom
! - Magnetic moment: 0.00 μB/cell

***

! GGA-PBE LiTlFe2I6, relaxed; values from VASP
&SYSTEM
  ibrav = 0, nat = 20, ntyp = 4
/
ATOMIC_SPECIES
Li 6.94 Li.upf
Tl 204.38 Tl.upf
Fe 55.84 Fe.upf
I 126.90 I.upf
CELL_PARAMETERS angstrom
7.4267 -8.1183 0.0000
7.4267 8.1183 0.0000
-1.8487 0.0000 7.1575
ATOMIC_POSITIONS angstrom
Li 6.0402 7.9210 5.3682
Li 6.9645 -7.9210 1.7894
Tl 6.9645 3.3908 1.7894
Tl 6.0402 -3.3908 5.3682
Fe 2.9328 1.2429 4.6206
Fe 3.8571 -1.2429 1.0418
Fe 9.1476 1.2429 6.1157
Fe 10.0719 -1.2429 2.5370
I 5.2344 6.5232 3.0752
I 3.7808 3.3484 5.7860
I 8.6947 6.5232 0.5036
I 4.2724 1.0147 2.3398
I 3.3480 -1.0147 5.9185
I 8.2995 3.3484 4.9504
I 4.7052 -3.3484 2.2072
I 9.6567 1.0147 1.2390
I 8.7323 -1.0147 4.8178
I 4.3100 -6.5232 6.6540
I 9.2239 -3.3484 1.3716
I 7.7704 -6.5232 4.0823
! - Space-group type: C2/c (15)
! - Raw formation energy: -396 meV per atom
! - Magnetic moment: 16.00 μB/cell

***

! GGA-PBE ErRe4Se8, relaxed; values from VASP
&SYSTEM
  ibrav = 0, nat = 13, ntyp = 3
/
ATOMIC_SPECIES
Er 167.26 Er.upf
Re 186.21 Re.upf
Se 78.96 Se.upf
CELL_PARAMETERS angstrom
3.7120 2.1431 6.2030
-3.7120 2.1431 6.2030
0.0000 -4.2862 6.2030
ATOMIC_POSITIONS angstrom
Er 0.0000 0.0000 0.0000
Re -3.7120 0.0000 9.3045
Re -1.8560 1.0716 3.1015
Re 1.8560 1.0716 3.1015
Re 0.0000 0.0000 9.3045
Se 0.0000 0.0000 4.5109
Se -1.8116 -1.0459 10.7164
Se 0.0000 -2.0918 7.8926
Se -1.8116 1.0459 7.8926
Se 1.8116 -1.0459 10.7164
Se 0.0000 2.0918 10.7164
Se 1.8116 1.0459 7.8926
Se 0.0000 0.0000 14.0981
! - Space-group type: R-3m (166)
! - Raw formation energy: -139 meV per atom
! - Magnetic moment: 6.45 μB/cell

***

! GGA-PBE CaTlB2P, relaxed; values from VASP
&SYSTEM
  ibrav = 0, nat = 5, ntyp = 4
/
ATOMIC_SPECIES
Ca 40.08 Ca.upf
Tl 204.38 Tl.upf
B 10.81 B.upf
P 30.97 P.upf
CELL_PARAMETERS angstrom
5.0038 0.0000 0.0000
0.0000 5.0038 0.0000
0.0000 0.0000 5.2756
ATOMIC_POSITIONS angstrom
Ca 0.0000 0.0000 0.0000
Tl 2.5019 2.5019 2.6378
B 0.0000 2.5019 0.0000
B 2.5019 0.0000 0.0000
P 0.0000 0.0000 2.6378
! - Space-group type: P4/mmm (123)
! - E_form: 1.803 eV/atom
! - Magnetic moment: 0.00 μB/cell

***

! GGA-PBE DyYTe3, relaxed; values from VASP
&SYSTEM
  ibrav = 0, nat = 10, ntyp = 3
/
ATOMIC_SPECIES
Dy 162.50 Dy.upf
Y 88.91 Y.upf
Te 127.60 Te.upf
CELL_PARAMETERS angstrom
3.8469 2.2210 7.0324
-3.8469 2.2210 7.0324
0.0000 -4.4421 7.0324
ATOMIC_POSITIONS angstrom
Dy 0.0000 0.0000 3.3146
Dy 0.0000 0.0000 17.7827
Y 0.0000 0.0000 7.2322
Y 0.0000 0.0000 13.8651
Te -2.6392 -0.1299 8.7944
Te -1.2071 -2.3505 12.3029
Te 1.4321 -2.2206 8.7944
Te -1.4321 2.2206 12.3029
Te 1.2071 2.3505 8.7944
Te 2.6392 0.1299 12.3029
! - Space-group type: R-3 (148)
! - Raw formation energy: -1374 meV per atom
! - Magnetic moment: 0.00 μB/cell

***

! GGA-PBE CuAu, relaxed; values from VASP
&SYSTEM
  ibrav = 0, nat = 8, ntyp = 2
/
ATOMIC_SPECIES
Cu 63.55 Cu.upf
Au 196.97 Au.upf
CELL_PARAMETERS angstrom
5.0854 0.0000 0.0000
0.0000 5.0854 0.0000
0.0000 0.0000 5.2130
ATOMIC_POSITIONS angstrom
Cu 0.9527 0.9527 0.0000
Cu 1.5899 3.4954 2.6065
Cu 3.4954 1.5899 2.6065
Cu 4.1326 4.1326 0.0000
Au 0.9845 0.9845 2.6065
Au 1.5582 3.5272 0.0000
Au 3.5272 1.5582 0.0000
Au 4.1009 4.1009 2.6065
! - Space-group type: P4_2/mnm (136)
! - E_form: 0.183 eV/atom
! - Magnetic moment: 0.00 μB/cell

***

! GGA-PBE La2UWN6, relaxed; values from VASP
&SYSTEM
  ibrav = 0, nat = 10, ntyp = 4
/
ATOMIC_SPECIES
La 138.91 La.upf
U 238.03 U.upf
W 183.84 W.upf
N 14.01 N.upf
CELL_PARAMETERS angstrom
4.1138 0.0000 0.0000
0.0000 4.1138 0.0000
0.0000 0.0000 8.4859
ATOMIC_POSITIONS angstrom
La 0.0000 0.0000 1.8997
La 0.0000 0.0000 6.5862
U 2.0569 2.0569 4.2430
W 2.0569 2.0569 0.0000
N 0.0000 2.0569 0.0000
N 0.0000 2.0569 4.2430
N 2.0569 0.0000 0.0000
N 2.0569 0.0000 4.2430
N 2.0569 2.0569 1.9984
N 2.0569 2.0569 6.4875
! - Space-group type: P4/mmm (123)
! - Raw formation energy: -1102 meV per atom
! - Magnetic moment: 0.00 μB/cell

***

! GGA-PBE Ti2Si2Os, relaxed; values from VASP
&SYSTEM
  ibrav = 0, nat = 5, ntyp = 3
/
ATOMIC_SPECIES
Ti 47.87 Ti.upf
Si 28.09 Si.upf
Os 190.23 Os.upf
CELL_PARAMETERS angstrom
-1.6370 1.6370 7.1985
1.6370 -1.6370 7.1985
1.6370 1.6370 -7.1985
ATOMIC_POSITIONS angstrom
Ti 0.0000 0.0000 1.4860
Ti 0.0000 0.0000 12.9110
Si 1.6370 0.0000 3.5993
Si 0.0000 1.6370 3.5993
Os 0.0000 0.0000 7.1985
! - Space-group type: I4/mmm (139)
! - Raw formation energy: -233 meV per atom
! - Magnetic moment: 0.00 μB/cell

***

! GGA-PBE ThGa2Cl6, relaxed; values from VASP
&SYSTEM
  ibrav = 0, nat = 18, ntyp = 3
/
ATOMIC_SPECIES
Th 232.04 Th.upf
Ga 69.72 Ga.upf
Cl 35.45 Cl.upf
CELL_PARAMETERS angstrom
7.5396 0.0000 0.0000
0.0000 6.9165 0.0000
-7.4077 0.0000 12.4438
ATOMIC_POSITIONS angstrom
Th 0.0000 0.0000 0.0000
Th -3.7038 3.4583 6.2219
Ga -3.6420 0.0553 10.1928
Ga 0.0619 3.4029 3.9709
Ga 0.0701 3.5136 8.4729
Ga 3.7739 6.8612 2.2510
Cl -2.5314 4.9131 4.2702
Cl -6.2353 5.4617 10.4921
Cl -2.5378 5.0184 8.0922
Cl 1.1660 5.3564 1.8703
Cl 2.2850 1.4392 0.0411
Cl -1.4188 2.0191 6.2630
Cl 1.5507 4.8975 6.1808
Cl -2.1531 5.4773 12.4027
Cl -1.0341 1.5601 10.5734
Cl 2.6698 1.8981 4.3516
Cl 6.3672 1.4548 1.9517
Cl 2.6634 2.0034 8.1736
! - Space-group type: P2_1/c (14)
! - Raw formation energy: -1533 meV per atom
! - Magnetic moment: 0.00 μB/cell

***

! GGA-PBE CsCeAs2, relaxed; values from VASP
&SYSTEM
  ibrav = 0, nat = 4, ntyp = 3
/
ATOMIC_SPECIES
Cs 132.91 Cs.upf
Ce 140.12 Ce.upf
As 74.92 As.upf
CELL_PARAMETERS angstrom
2.2297 1.2873 8.2259
-2.2297 1.2873 8.2259
0.0000 -2.5746 8.2259
ATOMIC_POSITIONS angstrom
Cs 0.0000 0.0000 0.0000
Ce 0.0000 0.0000 12.3389
As 0.0000 0.0000 5.4912
As 0.0000 0.0000 19.1865
! - Space-group type: R-3m (166)
! - E_form: -0.711 eV/atom
! - Magnetic moment: 0.30 μB/cell

***

! GGA-PBE K2BeNi, relaxed; values from VASP
&SYSTEM
  ibrav = 0, nat = 4, ntyp = 3
/
ATOMIC_SPECIES
K 39.10 K.upf
Be 9.01 Be.upf
Ni 58.69 Ni.upf
CELL_PARAMETERS angstrom
4.1862 0.0000 0.0000
0.0000 4.7838 0.0000
-0.4662 0.0000 7.1647
ATOMIC_POSITIONS angstrom
K 0.7606 0.0000 1.8066
K 2.9594 0.0000 5.3581
Be 2.0931 2.3919 0.0000
Ni 0.0000 2.3919 0.0000
! - Space-group type: P2/m (10)
! - E_form: 0.640 eV/atom
! - Magnetic moment: 0.00 μB/cell

***

! GGA-PBE Pm2Be4CuSi3, relaxed; values from VASP
&SYSTEM
  ibrav = 0, nat = 10, ntyp = 4
/
ATOMIC_SPECIES
Pm 145.00 Pm.upf
Be 9.01 Be.upf
Cu 63.55 Cu.upf
Si 28.09 Si.upf
CELL_PARAMETERS angstrom
3.9074 0.0000 0.0000
0.0000 3.9074 0.0000
0.0000 0.0000 9.7162
ATOMIC_POSITIONS angstrom
Pm 0.0000 1.9537 2.4039
Pm 1.9537 0.0000 7.3123
Be 0.0000 0.0000 0.0000
Be 0.0000 1.9537 6.1134
Be 1.9537 0.0000 3.6028
Be 1.9537 1.9537 0.0000
Cu 0.0000 0.0000 4.8581
Si 0.0000 1.9537 8.4305
Si 1.9537 0.0000 1.2857
Si 1.9537 1.9537 4.8581
! - Space-group type: P-4m2 (115)
! - Raw formation energy: -422 meV per atom
! - Magnetic moment: 0.00 μB/cell

***

! GGA-PBE NaPO, relaxed; values from VASP
&SYSTEM
  ibrav = 0, nat = 6, ntyp = 3
/
ATOMIC_SPECIES
Na 22.99 Na.upf
P 30.97 P.upf
O 16.00 O.upf
CELL_PARAMETERS angstrom
-3.6669 4.3220 1.4007
3.6669 -4.3220 1.4007
3.6669 4.3220 -1.4007
ATOMIC_POSITIONS angstrom
Na 0.0000 0.0000 0.0000
Na 0.0000 4.3220 0.0000
P -1.8335 2.1610 0.7003
P 1.8335 2.1610 0.7003
O 3.6669 2.1610 0.6020
O 0.0000 2.1610 0.7986
! - Space-group type: Imma (74)
! - Raw formation energy: -596 meV per atom
! - Magnetic moment: 0.00 μB/cell

***

! GGA-PBE KSrTlS3, relaxed; values from VASP
&SYSTEM
  ibrav = 0, nat = 12, ntyp = 4
/
ATOMIC_SPECIES
K 39.10 K.upf
Sr 87.62 Sr.upf
Tl 204.38 Tl.upf
S 32.06 S.upf
CELL_PARAMETERS angstrom
8.1553 -2.6502 0.0000
8.1553 2.6502 0.0000
-2.0386 0.0000 8.2218
ATOMIC_POSITIONS angstrom
K 2.3200 0.0000 0.5421
K 11.9519 0.0000 7.6796
Sr 1.2299 0.0000 4.6946
Sr 13.0420 0.0000 3.5272
Tl 6.5364 0.0000 6.0913
Tl 7.7355 0.0000 2.1304
S -0.4986 0.0000 2.2185
S 4.1219 0.0000 5.3927
S 5.2734 0.0000 1.7317
S 8.9985 0.0000 6.4901
S 10.1500 0.0000 2.8291
S 14.7705 0.0000 6.0032
! - Space-group type: C2/m (12)
! - Raw formation energy: -951 meV per atom
! - Magnetic moment: 0.00 μB/cell

***

! GGA-PBE Pr2DyTl2Cd2, relaxed; values from VASP
&SYSTEM
  ibrav = 0, nat = 7, ntyp = 4
/
ATOMIC_SPECIES
Pr 140.91 Pr.upf
Dy 162.50 Dy.upf
Tl 204.38 Tl.upf
Cd 112.41 Cd.upf
CELL_PARAMETERS angstrom
2.5109 1.4496 9.3296
-2.5109 1.4496 9.3296
0.0000 -2.8993 9.3296
ATOMIC_POSITIONS angstrom
Pr 0.0000 0.0000 3.5291
Pr 0.0000 0.0000 24.4597
Dy 0.0000 0.0000 0.0000
Tl 0.0000 0.0000 7.3139
Tl 0.0000 0.0000 20.6750
Cd 0.0000 0.0000 10.8535
Cd 0.0000 0.0000 17.1354
! - Space-group type: R-3m (166)
! - E_form: -0.172 eV/atom
! - Magnetic moment: 0.00 μB/cell

***

! GGA-PBE TbPrNdS3, relaxed; values from VASP
&SYSTEM
  ibrav = 0, nat = 12, ntyp = 4
/
ATOMIC_SPECIES
Tb 158.93 Tb.upf
Pr 140.91 Pr.upf
Nd 144.24 Nd.upf
S 32.06 S.upf
CELL_PARAMETERS angstrom
6.9795 0.0000 0.0000
0.0000 3.9374 0.0000
-2.2651 0.0000 10.2902
ATOMIC_POSITIONS angstrom
Tb 0.6178 0.9843 4.5766
Tb 4.0965 2.9530 5.7137
Pr 0.6010 2.9530 8.2517
Pr 4.1133 0.9843 2.0385
Nd 0.5800 2.9530 1.3526
Nd 4.1343 0.9843 8.9377
S -1.1069 0.9843 6.7171
S -0.2581 0.9843 10.2256
S 2.3955 2.9530 3.5410
S 2.3189 0.9843 6.7492
S 4.9725 2.9530 0.0646
S 5.8213 2.9530 3.5731
! - Space-group type: P2_1/m (11)
! - Raw formation energy: -1918 meV per atom
! - Magnetic moment: 0.00 μB/cell

***

! GGA-PBE Nd2EuC, relaxed; values from VASP
&SYSTEM
  ibrav = 0, nat = 4, ntyp = 3
/
ATOMIC_SPECIES
Nd 144.24 Nd.upf
Eu 151.96 Eu.upf
C 12.01 C.upf
CELL_PARAMETERS angstrom
1.8673 1.0781 9.9533
-1.8673 1.0781 9.9533
0.0000 -2.1562 9.9533
ATOMIC_POSITIONS angstrom
Nd 0.0000 0.0000 6.3907
Nd 0.0000 0.0000 23.4693
Eu 0.0000 0.0000 0.0000
C 0.0000 0.0000 14.9300
! - Space-group type: R-3m (166)
! - E_form: -0.036 eV/atom
! - Magnetic moment: 7.68 μB/cell

***

! GGA-PBE Br2Cl, relaxed; values from VASP
&SYSTEM
  ibrav = 0, nat = 6, ntyp = 2
/
ATOMIC_SPECIES
Br 79.90 Br.upf
Cl 35.45 Cl.upf
CELL_PARAMETERS angstrom
1.8546 -12.0310 0.0000
1.8546 12.0310 0.0000
0.0000 0.0000 4.1176
ATOMIC_POSITIONS angstrom
Br 1.8546 11.1849 3.0882
Br 1.8546 6.0112 1.0294
Br 1.8546 -6.0112 3.0882
Br 1.8546 -11.1849 1.0294
Cl 1.8546 2.3116 3.0882
Cl 1.8546 -2.3116 1.0294
! - Space-group type: Cmcm (63)
! - Raw formation energy: 434 meV per atom
! - Magnetic moment: 0.00 μB/cell

***

! GGA-PBE TbPrZnSn, relaxed; values from VASP
&SYSTEM
  ibrav = 0, nat = 4, ntyp = 4
/
ATOMIC_SPECIES
Tb 158.93 Tb.upf
Pr 140.91 Pr.upf
Zn 65.41 Zn.upf
Sn 118.71 Sn.upf
CELL_PARAMETERS angstrom
0.0000 3.7474 3.7474
3.7474 0.0000 3.7474
3.7474 3.7474 0.0000
ATOMIC_POSITIONS angstrom
Tb 0.0000 0.0000 0.0000
Pr 3.7474 3.7474 3.7474
Zn 5.6210 5.6210 5.6210
Sn 1.8737 1.8737 1.8737
! - Space-group type: F-43m (216)
! - E_form: -0.508 eV/atom
! - Magnetic moment: 0.00 μB/cell

***

! GGA-PBE MgV3Ga, relaxed; values from VASP
&SYSTEM
  ibrav = 0, nat = 5, ntyp = 3
/
ATOMIC_SPECIES
Mg 24.30 Mg.upf
V 50.94 V.upf
Ga 69.72 Ga.upf
CELL_PARAMETERS angstrom
4.4738 0.0000 0.0000
0.0000 4.4738 0.0000
0.0000 0.0000 4.4738
ATOMIC_POSITIONS angstrom
Mg 0.0000 0.0000 0.0000
V 0.0000 0.0000 2.2369
V 0.0000 2.2369 0.0000
V 2.2369 0.0000 0.0000
Ga 2.2369 2.2369 2.2369
! - Space-group type: Pm-3m (221)
! - E_form: 1.637 eV/atom
! - Magnetic moment: 0.00 μB/cell

***

! GGA-PBE Fe2Te, relaxed; values from VASP
&SYSTEM
  ibrav = 0, nat = 6, ntyp = 2
/
ATOMIC_SPECIES
Fe 55.84 Fe.upf
Te 127.60 Te.upf
CELL_PARAMETERS angstrom
3.9009 -2.7315 0.0000
3.9009 2.7315 0.0000
0.0000 0.0000 4.4042
ATOMIC_POSITIONS angstrom
Fe 1.3622 0.8111 1.1010
Fe 1.3622 -0.8111 3.3031
Fe 6.4397 0.8111 1.1010
Fe 6.4397 -0.8111 3.3031
Te 3.9009 1.2514 1.1010
Te 3.9009 -1.2514 3.3031
! - Space-group type: Cmcm (63)
! - Raw formation energy: 289 meV per atom
! - Magnetic moment: 8.97 μB/cell

***

! GGA-PBE K5PaTe4, relaxed; values from VASP
&SYSTEM
  ibrav = 0, nat = 10, ntyp = 3
/
ATOMIC_SPECIES
K 39.10 K.upf
Pa 231.04 Pa.upf
Te 127.60 Te.upf
CELL_PARAMETERS angstrom
10.4317 -2.3929 0.0000
10.4317 2.3929 0.0000
-1.6800 0.0000 9.3999
ATOMIC_POSITIONS angstrom
K 0.0000 0.0000 0.0000
K 5.6060 0.0000 6.1438
K 6.7936 0.0000 1.5902
K 12.3899 0.0000 7.8097
K 13.5775 0.0000 3.2561
Pa -0.8400 0.0000 4.7000
Te 2.1218 0.0000 5.4363
Te 9.0654 0.0000 6.7610
Te 10.1181 0.0000 2.6389
Te 17.0616 0.0000 3.9636
! - Space-group type: C2/m (12)
! - Raw formation energy: -859 meV per atom
! - Magnetic moment: 1.01 μB/cell

***

! GGA-PBE ScAl2IrPb, relaxed; values from VASP
&SYSTEM
  ibrav = 0, nat = 5, ntyp = 4
/
ATOMIC_SPECIES
Sc 44.96 Sc.upf
Al 26.98 Al.upf
Ir 192.22 Ir.upf
Pb 207.20 Pb.upf
CELL_PARAMETERS angstrom
4.7704 0.0000 0.0000
0.0000 4.7704 0.0000
0.0000 0.0000 5.1090
ATOMIC_POSITIONS angstrom
Sc 0.0000 0.0000 0.0000
Al 0.0000 2.3852 2.5545
Al 2.3852 0.0000 2.5545
Ir 0.0000 0.0000 2.5545
Pb 2.3852 2.3852 0.0000
! - Space-group type: P4/mmm (123)
! - E_form: -0.282 eV/atom
! - Magnetic moment: 0.00 μB/cell

***

! GGA-PBE LiInTc2, relaxed; values from VASP
&SYSTEM
  ibrav = 0, nat = 4, ntyp = 3
/
ATOMIC_SPECIES
Li 6.94 Li.upf
In 114.82 In.upf
Tc 98.00 Tc.upf
CELL_PARAMETERS angstrom
2.6186 -4.6425 0.0000
2.6186 4.6425 0.0000
-0.8518 0.0000 2.5991
ATOMIC_POSITIONS angstrom
Li 0.0000 0.0000 0.0000
In 2.6186 0.0000 0.0000
Tc 0.8834 2.3213 1.2995
Tc 0.8834 -2.3213 1.2995
! - Space-group type: C2/m (12)
! - E_form: 0.311 eV/atom
! - Magnetic moment: 0.00 μB/cell